The following is a DFT calculation (GGA-PBE) of crystalline Rb2MnBeI6 at its relaxed geometry.

a b c (Å): 8.620 8.620 11.042
angles (deg): 90.00 90.00 90.00
Space group I4/mmm (No. 139)
Symmetry-distinct sites (fractional):
Rb  0.000  0.500  0.250 [4 per cell]
Mn  0.000  0.000  0.000 [2 per cell]
Be  0.000  0.000  0.500 [2 per cell]
I  0.000  0.000  0.295 [4 per cell]
I  0.229  0.229  0.000 [8 per cell]

Summary:
* uncorrected formation energy: -0.74 eV/atom

The following is a DFT calculation (GGA-PBE) of crystalline CaMg3 at its relaxed geometry.

a b c (Å): 10.808 3.467 5.951
angles (deg): 90.00 101.47 90.00
Space group C2/m (No. 12)
Symmetry-distinct sites (fractional):
Ca  0.000  0.000  0.000 [2 per cell]
Mg  0.000  0.500  0.500 [2 per cell]
Mg  0.242  0.000  0.729 [4 per cell]

Summary:
* ΔE_f: 0.008 eV per atom

The following is a DFT calculation (GGA-PBE) of crystalline Er2HfGa3Pt4 at its relaxed geometry.

a b c (Å): 4.092 4.092 11.424
angles (deg): 90.00 90.00 90.00
Space group P-4m2 (No. 115)
Symmetry-distinct sites (fractional):
Er  0.000  0.500  0.234 [2 per cell]
Hf  0.000  0.000  0.500 [1 per cell]
Ga  0.000  0.500  0.868 [2 per cell]
Ga  0.500  0.500  0.500 [1 per cell]
Pt  0.000  0.000  0.000 [1 per cell]
Pt  0.000  0.500  0.652 [2 per cell]
Pt  0.500  0.500  0.000 [1 per cell]

Summary:
* ΔE_f: -0.964 eV per atom